Material: Tl2Ge2Pb
Method: DFT, PBE
State: relaxed

a = 3.761 Å, b = 3.761 Å, c = 10.101 Å
α = 79.27°, β = 79.27°, γ = 90.00°
Element x y z (fractional)
Pb: 0.000 0.000 0.000
Tl: 0.386 0.386 0.228
Tl: 0.614 0.614 0.772
Ge: 0.750 0.250 0.500
Ge: 0.250 0.750 0.500

Final energy (eV per cell): -16.79
Space-group type: No. 139
Relative energy among the computed polymorphs (meV/atom): 0
Calculated formation energy (eV/f.u.): 0.9